[1]
DFT (meta-GGA SCAN) results for a crystal of RbBeInH2 relaxed with PBEsol.

abc: 4.1466 4.1466 7.6445
angles: 90.00 90.00 90.00
Element x y z (fractional)
Rb (0.0000, 0.0000, 0.0000)
Be (0.5000, 0.5000, 0.5000)
In (0.0000, 0.0000, 0.5000)
H (0.0000, 0.5000, 0.0000)
H (0.5000, 0.0000, 0.0000)

Calculated values
- calculated volume (A^3/atom) = 26.29
- electronic total energy (eV/atom) = -11.749


[2]
DFT (meta-GGA SCAN) results for a crystal of FeBO2F relaxed with PBEsol.

abc: 3.2858 3.2858 3.5271
angles: 90.00 90.00 90.00
Element x y z (fractional)
Fe (0.0000, 0.0000, 0.0000)
B (0.5000, 0.5000, 0.5000)
O (0.0000, 0.5000, 0.5000)
O (0.5000, 0.0000, 0.5000)
F (0.5000, 0.5000, 0.0000)

Calculated values
- E_form (uncorrected) (eV per atom) = -1.10
- calculated volume (A^3/atom) = 7.62
- electronic total energy (eV/atom) = -9.413